Computed, not measured: crystalline CsSrHg2 at its relaxed geometry at the PBE level of DFT.

Cell lengths 6.1077, 6.1077, 4.0845 Å; angles 90.00, 90.00, 90.00 degrees
Closest atoms and distances in Å follow each position.
Space group P4/mmm (No. 123)
One atom of each set of equivalent atoms:
1 Cs 0.0000 0.0000 0.0000 x1  8 Hg 3.67, 2 Cs 4.08
2 Sr 0.5000 0.5000 0.0000 x1  8 Hg 3.67, 2 Sr 4.08
3 Hg 0.0000 0.5000 0.5000 x2  4 Sr 3.67, 4 Cs 3.67, 2 Hg 4.08

Computed properties:
Calculated total energy = -4.2 eV for the cell shown
Energy of formation from the pure elements = -269 meV/atom
E above lowest polymorph = 45 meV per atom

Computed, not measured: crystalline CsSr2Hg6 at its relaxed geometry at the PBE level of DFT.

Cell lengths 9.0729, 9.0729, 4.1723 Å; angles 90.00, 90.00, 120.00 degrees
Closest atoms and distances in Å follow each position.
Space group P6/mmm (No. 191)
One atom of each set of equivalent atoms:
1 Cs 0.0000 0.0000 0.0000 x1  12 Hg 3.72
2 Sr 0.3333 0.6667 0.0000 x2  12 Hg 3.65
3 Hg 0.0000 0.3393 0.5000 x6  3 Hg 2.92-3.08

Computed properties:
Calculated total energy = -9.3 eV for the cell shown
Energy of formation from the pure elements = -359 meV/atom

Computed, not measured: crystalline CsSrHg12 at its relaxed geometry at the PBE level of DFT.

Cell lengths 7.0438, 7.0438, 14.6569 Å; angles 90.00, 90.00, 90.00 degrees
Closest atoms and distances in Å follow each position.
Space group P4/mmm (No. 123)
One atom of each set of equivalent atoms:
1 Cs 0.0000 0.0000 0.0000 x1  24 Hg 5.18-5.30
2 Sr 0.0000 0.0000 0.5000 x1  24 Hg 5.17-5.23
3 Hg 0.1964 0.5000 0.2534 x8  4 Hg 2.77-3.09
4 Hg 0.5000 0.5000 0.0969 x2  5 Hg 2.84-3.14
5 Hg 0.5000 0.5000 0.4060 x2  1 Hg 2.76

Computed properties:
Calculated total energy = -4.1 eV for the cell shown
Energy of formation from the pure elements = 145 meV/atom

Computed, not measured: crystalline CsSr3Hg at its relaxed geometry at the PBE level of DFT.

Cell lengths 6.3249, 6.3249, 6.3249 Å; angles 90.00, 90.00, 90.00 degrees
Closest atoms and distances in Å follow each position.
Space group Pm-3m (No. 221)
One atom of each set of equivalent atoms:
1 Cs 0.0000 0.0000 0.0000 x1  6 Sr 3.16
2 Sr 0.0000 0.0000 0.5000 x3  2 Cs 3.16
3 Hg 0.5000 0.5000 0.5000 x1  12 Sr 4.47

Computed properties:
Calculated total energy = -1.7 eV for the cell shown
Energy of formation from the pure elements = 908 meV/atom
E above lowest polymorph = 1030 meV per atom

Look up the calculated total energy of the third one. -4.1 eV for the cell shown